# 1
## ZnSb2H2Pt7 (PBE-GGA)

Data for crystalline ZnSb2H2Pt7 at its relaxed geometry.

Properties
density	15.48	g cm⁻³
crystal system	monoclinic
density of states at the Fermi level	0.320	states/eV/atom
SG	C2/m, No. 12
raw total energy	-60.6	eV/cell

a b c (Å): 3.9743 3.9743 11.7199
angles (deg): 99.66 99.66 90.06
With the nearest neighbours (Å) after each atom.
Atoms (fractional coordinates):
Zn 0.0000 0.0000 0.0000  12 Pt 2.81-2.85
Sb 0.2002 0.2002 0.3983  5 Pt 2.71-2.85
Sb 0.7998 0.7998 0.6017  5 Pt 2.71-2.85
H 0.3788 0.3788 0.8325  3 Pt 1.85-1.92
H 0.6212 0.6212 0.1675  3 Pt 1.85-1.92
Pt 0.0898 0.5840 0.1783  1 H 1.85
Pt 0.3195 0.3195 0.6365  1 H 2.24
Pt 0.4160 0.9102 0.8217  1 H 1.85
Pt 0.5000 0.5000 0.0000  2 H 1.92
Pt 0.5840 0.0898 0.1783  1 H 1.85
Pt 0.6805 0.6805 0.3635  1 H 2.24
Pt 0.9102 0.4160 0.8217  1 H 1.85

# 2
## SrAl2Ni2 (PBE-GGA)

Data for crystalline SrAl2Ni2 at its relaxed geometry.

Properties
density	5.22	g cm⁻³
energy of formation from the pure elements	-0.214	eV per atom
crystal system	tetragonal
density of states at the Fermi level	0.658	states/eV/atom
SG	P4/mbm, No. 127

a b c (Å): 7.6462 7.6462 2.8172
angles (deg): 90.00 90.00 90.00
With the nearest neighbours (Å) after each atom.
Atoms (fractional coordinates):
Sr 0.0000 0.0000 0.0000  2 Sr 2.82, 4 Ni 2.93
Sr 0.5000 0.5000 0.0000  2 Sr 2.82, 4 Ni 2.93
Al 0.1343 0.3657 0.5000  6 Ni 2.57-2.76, 2 Al 2.82
Al 0.3657 0.8657 0.5000  6 Ni 2.57-2.76, 2 Al 2.82
Al 0.6343 0.1343 0.5000  6 Ni 2.57-2.76, 2 Al 2.82
Al 0.8657 0.6343 0.5000  6 Ni 2.57-2.76, 2 Al 2.82
Ni 0.1464 0.6464 0.0000  6 Al 2.57-2.76, 2 Ni 2.82
Ni 0.3536 0.1464 0.0000  6 Al 2.57-2.76, 2 Ni 2.82
Ni 0.6464 0.8536 0.0000  6 Al 2.57-2.76, 2 Ni 2.82
Ni 0.8536 0.3536 0.0000  6 Al 2.57-2.76, 2 Ni 2.82

# 3
## NiMo2Cl (PBE-GGA)

Data for crystalline NiMo2Cl at its relaxed geometry.

Properties
density	8.54	g cm⁻³
raw formation energy	0.5313	eV/atom
crystal system	tetragonal
density of states at the Fermi level	0.715	states/eV/atom
SG	P4/mmm, No. 123
energy above the most stable polymorph in this dataset	0.320	eV per atom

a b c (Å): 4.4956 4.4956 2.7524
angles (deg): 90.00 90.00 90.00
With the nearest neighbours (Å) after each atom.
Atoms (fractional coordinates):
Ni 0.0000 0.0000 0.0000  8 Mo 2.64, 2 Ni 2.75
Mo 0.0000 0.5000 0.5000  4 Cl 2.64, 4 Ni 2.64, 2 Mo 2.75
Mo 0.5000 0.0000 0.5000  4 Cl 2.64, 4 Ni 2.64, 2 Mo 2.75
Cl 0.5000 0.5000 0.0000  8 Mo 2.64, 2 Cl 2.75

# 4
## Na4Zn3Se5 (PBE-GGA)

Data for crystalline Na4Zn3Se5 at its relaxed geometry.

Properties
density	4.04	g cm⁻³
raw formation energy	-0.9020	eV/atom
crystal system	orthorhombic
SG	Pnma, No. 62

a b c (Å): 13.8436 4.1235 19.6743
angles (deg): 90.00 90.00 90.00
With the nearest neighbours (Å) after each atom.
Atoms (fractional coordinates):
Na 0.0107 0.2500 0.0806  5 Se 3.08-3.11
Na 0.0108 0.7500 0.2653  5 Se 2.83-2.97, 2 Zn 3.02
Na 0.1054 0.2500 0.5473  6 Se 3.02-3.31, 1 Na 3.19
Na 0.2362 0.7500 0.1650  5 Se 2.90-3.05, 1 Na 3.19
Na 0.2638 0.2500 0.6650  5 Se 2.90-3.05, 1 Na 3.19
Na 0.3946 0.7500 0.0473  6 Se 3.02-3.31, 1 Na 3.19
Na 0.4892 0.2500 0.7653  5 Se 2.83-2.97, 2 Zn 3.02
Na 0.4893 0.7500 0.5806  5 Se 3.08-3.11
Na 0.5107 0.2500 0.4194  5 Se 3.08-3.11
Na 0.5108 0.7500 0.2347  5 Se 2.83-2.97, 2 Zn 3.02
Na 0.6054 0.2500 0.9527  6 Se 3.02-3.31, 1 Na 3.19
Na 0.7362 0.7500 0.3350  5 Se 2.90-3.05, 1 Na 3.19
Na 0.7638 0.2500 0.8350  5 Se 2.90-3.05, 1 Na 3.19
Na 0.8946 0.7500 0.4527  6 Se 3.02-3.31, 1 Na 3.19
Na 0.9892 0.2500 0.7347  5 Se 2.83-2.97, 2 Zn 3.02
Na 0.9893 0.7500 0.9194  5 Se 3.08-3.11
Zn 0.0813 0.2500 0.3661  4 Se 2.47-2.58
Zn 0.1723 0.7500 0.7814  4 Se 2.45-2.59
Zn 0.2071 0.2500 0.9577  4 Se 2.51-2.53
Zn 0.2929 0.7500 0.4577  4 Se 2.51-2.53
Zn 0.3277 0.2500 0.2814  4 Se 2.45-2.59
Zn 0.4187 0.7500 0.8661  4 Se 2.47-2.58
Zn 0.5813 0.2500 0.1339  4 Se 2.47-2.58
Zn 0.6723 0.7500 0.7186  4 Se 2.45-2.59
Zn 0.7071 0.2500 0.5423  4 Se 2.51-2.53
Zn 0.7929 0.7500 0.0423  4 Se 2.51-2.53
Zn 0.8277 0.2500 0.2186  4 Se 2.45-2.59
Zn 0.9187 0.7500 0.6339  4 Se 2.47-2.58
Se 0.1013 0.7500 0.6597  2 Zn 2.58-2.59
Se 0.1146 0.7500 0.4354  3 Zn 2.51
Se 0.1178 0.2500 0.8466  3 Zn 2.51-2.54
Se 0.1556 0.2500 0.2518  2 Zn 2.45-2.47
Se 0.1582 0.7500 0.0234  2 Zn 2.53
Se 0.3418 0.2500 0.5234  2 Zn 2.53
Se 0.3444 0.7500 0.7518  2 Zn 2.45-2.47
Se 0.3822 0.7500 0.3466  3 Zn 2.51-2.54
Se 0.3854 0.2500 0.9354  3 Zn 2.51
Se 0.3987 0.2500 0.1597  2 Zn 2.58-2.59
Se 0.6013 0.7500 0.8403  2 Zn 2.58-2.59
Se 0.6146 0.7500 0.0646  3 Zn 2.51
Se 0.6178 0.2500 0.6534  3 Zn 2.51-2.54
Se 0.6556 0.2500 0.2482  2 Zn 2.45-2.47
Se 0.6582 0.7500 0.4766  2 Zn 2.53
Se 0.8418 0.2500 0.9766  2 Zn 2.53
Se 0.8444 0.7500 0.7482  2 Zn 2.45-2.47
Se 0.8822 0.7500 0.1534  3 Zn 2.51-2.54
Se 0.8854 0.2500 0.5646  3 Zn 2.51
Se 0.8987 0.2500 0.3403  2 Zn 2.58-2.59

# 5
## Sr2Cd2As (PBE-GGA)

Data for crystalline Sr2Cd2As at its relaxed geometry.

Properties
density	5.15	g cm⁻³
energy of formation from the pure elements	-0.367	eV per atom
crystal system	tetragonal
density of states at the Fermi level	0.529	states/eV/atom
SG	P4/mbm, No. 127
energy above the most stable polymorph in this dataset	0.128	eV per atom

a b c (Å): 7.9179 7.9179 4.8811
angles (deg): 90.00 90.00 90.00
With the nearest neighbours (Å) after each atom.
Atoms (fractional coordinates):
Sr 0.1804 0.3196 0.0000  6 Cd 3.26-3.47
Sr 0.3196 0.8196 0.0000  6 Cd 3.26-3.47
Sr 0.6804 0.1804 0.0000  6 Cd 3.26-3.47
Sr 0.8196 0.6804 0.0000  6 Cd 3.26-3.47
Cd 0.1266 0.6266 0.5000  1 Cd 2.84, 2 As 3.12
Cd 0.3734 0.1266 0.5000  1 Cd 2.84, 2 As 3.12
Cd 0.6266 0.8734 0.5000  1 Cd 2.84, 2 As 3.12
Cd 0.8734 0.3734 0.5000  1 Cd 2.84, 2 As 3.12
As 0.0000 0.0000 0.5000  4 Cd 3.12
As 0.5000 0.5000 0.5000  4 Cd 3.12

# 6
## TlSiIr2 (PBE-GGA)

Data for crystalline TlSiIr2 at its relaxed geometry.

Properties
density	13.75	g cm⁻³
raw formation energy	0.0531	eV/atom
crystal system	monoclinic
density of states at the Fermi level	0.574	states/eV/atom
SG	Cm, No. 8
energy above the most stable polymorph in this dataset	0.201	eV per atom

a b c (Å): 8.4091 2.9807 6.0158
angles (deg): 90.00 98.74 90.00
With the nearest neighbours (Å) after each atom.
Atoms (fractional coordinates):
Tl 0.0000 0.0000 0.0000  5 Ir 2.79-2.95, 2 Tl 2.98
Tl 0.5000 0.5000 0.0000  5 Ir 2.79-2.95, 2 Tl 2.98
Si 0.1951 0.0000 0.5543  5 Ir 2.36-2.39
Si 0.6951 0.5000 0.5543  5 Ir 2.36-2.39
Ir 0.2587 0.5000 0.2721  2 Si 2.38
Ir 0.4808 0.0000 0.5741  3 Si 2.36-2.39
Ir 0.7587 0.0000 0.2721  2 Si 2.38
Ir 0.9808 0.5000 0.5741  3 Si 2.36-2.39

# 7
## KLiSe2 (PBE-GGA)

Data for crystalline KLiSe2 at its relaxed geometry.

Properties
density	3.46	g cm⁻³
raw formation energy	-0.5019	eV/atom
crystal system	cubic
density of states at the Fermi level	1.086	states/eV/atom
SG	Fm-3m, No. 225

a b c (Å): 7.3172 7.3172 7.3172
angles (deg): 90.00 90.00 90.00
With the nearest neighbours (Å) after each atom.
Atoms (fractional coordinates):
K 0.0000 0.0000 0.0000  8 Se 3.17
K 0.0000 0.5000 0.5000  8 Se 3.17
K 0.5000 0.0000 0.5000  8 Se 3.17
K 0.5000 0.5000 0.0000  8 Se 3.17
Li 0.0000 0.0000 0.5000  8 Se 3.17
Li 0.0000 0.5000 0.0000  8 Se 3.17
Li 0.5000 0.0000 0.0000  8 Se 3.17
Li 0.5000 0.5000 0.5000  8 Se 3.17
Se 0.2500 0.2500 0.2500  4 K 3.17, 4 Li 3.17
Se 0.2500 0.2500 0.7500  4 K 3.17, 4 Li 3.17
Se 0.2500 0.7500 0.2500  4 K 3.17, 4 Li 3.17
Se 0.2500 0.7500 0.7500  4 K 3.17, 4 Li 3.17
Se 0.7500 0.2500 0.2500  4 K 3.17, 4 Li 3.17
Se 0.7500 0.2500 0.7500  4 K 3.17, 4 Li 3.17
Se 0.7500 0.7500 0.2500  4 K 3.17, 4 Li 3.17
Se 0.7500 0.7500 0.7500  4 K 3.17, 4 Li 3.17

# 8
## CsIn2Au3 (PBE-GGA)

Data for crystalline CsIn2Au3 at its relaxed geometry.

Properties
density	9.14	g cm⁻³
energy of formation from the pure elements	-0.250	eV per atom
crystal system	monoclinic
density of states at the Fermi level	0.370	states/eV/atom
SG	C2/m, No. 12
energy above the most stable polymorph in this dataset	0.049	eV per atom

a b c (Å): 9.1558 9.1558 8.7849
angles (deg): 113.03 113.03 30.98
With the nearest neighbours (Å) after each atom.
Atoms (fractional coordinates):
Cs 0.1750 0.1750 0.1033  5 Au 3.44-3.79
Cs 0.8250 0.8250 0.8967  5 Au 3.44-3.79
In 0.1413 0.1413 0.5449  7 Au 2.85-2.92
In 0.4755 0.4755 0.7988  4 Au 2.83-2.90
In 0.5245 0.5245 0.2012  4 Au 2.83-2.90
In 0.8587 0.8587 0.4551  7 Au 2.85-2.92
Au 0.0245 0.0245 0.7030  4 In 2.83-2.92, 2 Au 2.86
Au 0.3050 0.3050 0.5535  4 In 2.86-2.90, 3 Au 3.00-3.02
Au 0.4036 0.4036 0.3438  3 Au 2.86-3.00, 3 In 2.86-2.88
Au 0.5964 0.5964 0.6562  3 Au 2.86-3.00, 3 In 2.86-2.88
Au 0.6950 0.6950 0.4465  4 In 2.86-2.90, 3 Au 3.00-3.02
Au 0.9755 0.9755 0.2970  4 In 2.83-2.92, 2 Au 2.86

# 9
## Nd6SmTl4 (PBE-GGA)

Data for crystalline Nd6SmTl4 at its relaxed geometry.

Properties
density	7.85	g cm⁻³
energy of formation from the pure elements	-0.070	eV per atom
crystal system	tetragonal
density of states at the Fermi level	1.241	states/eV/atom
SG	I-42m, No. 121

a b c (Å): 8.2819 8.2819 8.2819
angles (deg): 122.16 122.16 86.30
With the nearest neighbours (Å) after each atom.
Atoms (fractional coordinates):
Nd 0.0000 0.5000 0.5000  4 Tl 3.10
Nd 0.0281 0.0281 0.6246  4 Tl 3.08-3.45
Nd 0.4035 0.4035 0.3754  4 Tl 3.08-3.45
Nd 0.5000 0.0000 0.5000  4 Tl 3.10
Nd 0.5965 0.9719 0.0000  4 Tl 3.08-3.45
Nd 0.9719 0.5965 0.0000  4 Tl 3.08-3.45
Sm 0.5000 0.5000 0.0000  4 Tl 3.87, 8 Nd 4.01-4.04
Tl 0.0974 0.0974 0.3326  6 Nd 3.08-3.45, 2 Tl 3.14
Tl 0.2352 0.9026 0.0000  6 Nd 3.08-3.45, 2 Tl 3.14
Tl 0.7648 0.7648 0.6674  6 Nd 3.08-3.45, 2 Tl 3.14
Tl 0.9026 0.2352 0.0000  6 Nd 3.08-3.45, 2 Tl 3.14

# 10
## LiSi2GeO6 (PBE-GGA)

Data for crystalline LiSi2GeO6 at its relaxed geometry.

Properties
density	3.33	g cm⁻³
raw formation energy	-2.2727	eV/atom
crystal system	monoclinic
density of states at the Fermi level	0.209	states/eV/atom
SG	C2/c, No. 15

a b c (Å): 6.8121 6.8121 5.3150
angles (deg): 104.38 104.38 85.83
With the nearest neighbours (Å) after each atom.
Atoms (fractional coordinates):
Li 0.1144 0.8856 0.7500  4 O 2.06-2.08
Li 0.8856 0.1144 0.2500  4 O 2.06-2.08
Si 0.1985 0.3786 0.7725  4 O 1.64-1.65
Si 0.3786 0.1985 0.2725  4 O 1.64-1.65
Si 0.6214 0.8015 0.7275  4 O 1.64-1.65
Si 0.8015 0.6214 0.2275  4 O 1.64-1.65
Ge 0.2416 0.7584 0.2500  4 O 1.87-1.99
Ge 0.7584 0.2416 0.7500  4 O 1.87-1.99
O 0.0064 0.2199 0.6541  1 Si 1.65
O 0.1310 0.6153 0.8706  1 Si 1.64
O 0.2199 0.0064 0.1541  1 Si 1.65
O 0.3106 0.3565 0.5267  2 Si 1.64-1.65
O 0.3565 0.3106 0.0267  2 Si 1.64-1.65
O 0.3847 0.8690 0.6294  1 Si 1.64
O 0.6153 0.1310 0.3706  1 Si 1.64
O 0.6435 0.6894 0.9733  2 Si 1.64-1.65
O 0.6894 0.6435 0.4733  2 Si 1.64-1.65
O 0.7801 0.9936 0.8459  1 Si 1.65
O 0.8690 0.3847 0.1294  1 Si 1.64
O 0.9936 0.7801 0.3459  1 Si 1.65

# 11
## Ba2Tl2W (PBE-GGA)

Data for crystalline Ba2Tl2W at its relaxed geometry.

Properties
density	8.51	g cm⁻³
energy of formation from the pure elements	1.080	eV per atom
crystal system	tetragonal
density of states at the Fermi level	1.266	states/eV/atom
SG	P4/mbm, No. 127
energy above the most stable polymorph in this dataset	0.491	eV per atom

a b c (Å): 9.8973 9.8973 3.4544
angles (deg): 90.00 90.00 90.00
With the nearest neighbours (Å) after each atom.
Atoms (fractional coordinates):
Ba 0.1881 0.3119 0.0000  6 Tl 3.29-3.52, 2 Ba 3.45, 2 W 3.60
Ba 0.3119 0.8119 0.0000  6 Tl 3.29-3.52, 2 Ba 3.45, 2 W 3.60
Ba 0.6881 0.1881 0.0000  6 Tl 3.29-3.52, 2 Ba 3.45, 2 W 3.60
Ba 0.8119 0.6881 0.0000  6 Tl 3.29-3.52, 2 Ba 3.45, 2 W 3.60
Tl 0.1117 0.6117 0.5000  3 Tl 3.13-3.45, 2 Ba 3.29
Tl 0.3883 0.1117 0.5000  3 Tl 3.13-3.45, 2 Ba 3.29
Tl 0.6117 0.8883 0.5000  3 Tl 3.13-3.45, 2 Ba 3.29
Tl 0.8883 0.3883 0.5000  3 Tl 3.13-3.45, 2 Ba 3.29
W 0.0000 0.0000 0.0000  2 W 3.45, 4 Ba 3.60
W 0.5000 0.5000 0.0000  2 W 3.45, 4 Ba 3.60

Q: Among the records above, which one has the highest density?
A: ZnSb2H2Pt7

Q: Look up the density of the ninth one.
A: 7.85 g cm⁻³

Q: Which value of density does entry 1 give?
A: 15.48 g cm⁻³